No. 1
Compound: BaBi2Te2
Source: Alexandria
Functional: meta-GGA SCAN
Structure: single point on PBEsol structure

Output
**Electronic total energy**: -54.756 eV/atom
**D(E_F)**: 2.995 states/eV/cell

a = 8.994 Å, b = 8.994 Å, c = 4.255 Å
α = 90.00°, β = 90.00°, γ = 90.00°
Space group P4/mbm (No. 127)
Asymmetric unit:
Ba (0.000, 0.000, 0.000) x2
Bi (0.193, 0.307, 0.500) x4
Te (0.143, 0.643, 0.000) x4

No. 2
Compound: SrSi2Ir
Source: Alexandria
Functional: meta-GGA SCAN
Structure: single point on PBEsol structure

Output
**Electronic total energy**: -29.091 eV/atom
**D(E_F)**: 6.949 states/eV/cell

a = 4.0694 Å, b = 4.0694 Å, c = 16.3785 Å
α = 90.00°, β = 90.00°, γ = 120.00°
Space group R-3m (No. 166, hexagonal axes)
Asymmetric unit:
Sr (0.0000, 0.0000, 0.0000) x3
Si (0.0000, 0.0000, 0.2072) x6
Ir (0.0000, 0.0000, 0.5000) x3

No. 3
Compound: Cd5Cu3
Source: Alexandria
Functional: meta-GGA SCAN
Structure: single point on PBEsol structure

Output
**Relative energy among the computed polymorphs**: 0.028 eV per atom
**Electronic total energy**: -24.622 eV/atom
**D(E_F)**: 3.127 states/eV/cell
**Energy of formation from the pure elements**: 0.696 eV/f.u.

a = 7.6613 Å, b = 7.6613 Å, c = 5.3571 Å
α = 90.00°, β = 90.00°, γ = 120.00°
Space group P6_3/mcm (No. 193)
Asymmetric unit:
Cd (0.0000, 0.2368, 0.2500) x6
Cd (0.3333, 0.6667, 0.0000) x4
Cu (0.0000, 0.4007, 0.7500) x6

> The lowest D(E_F) belongs to which entry?

BaBi2Te2